(1)
ScTePt (GGA-PBE, relaxed); calculated total energy = -5.790 eV/atom; magnetic moment = 0.0 μB/f.u.; calculated volume = 22.9 Å³/atom; crystal system = orthorhombic
1.0
3.9018 0.0000 0.0000
0.0000 6.7541 3.9034
0.0000 -6.7541 3.9034
Pt Sc Te
3 3 3
direct
0.0000 0.7112 0.3364 Pt
0.0000 0.3364 0.7112 Pt
0.0000 0.9729 0.9729 Pt
0.0000 0.3296 0.0405 Sc
0.0000 0.0405 0.3296 Sc
0.0000 0.6512 0.6512 Sc
0.5000 0.3602 0.3602 Te
0.5000 0.9986 0.5995 Te
0.5000 0.5995 0.9986 Te

=====

(2)
TaBe2 (GGA-PBE, relaxed); calculated total energy = -6.649 eV/atom; magnetic moment = 0.1 μB/f.u.; calculated volume = 11.5 Å³/atom; crystal system = hexagonal
1.0
4.6275 0.0000 0.0000
-2.3137 4.0075 0.0000
0.0000 0.0000 7.4597
Be Ta
8 4
direct
0.0000 0.0000 0.0000 Be
0.3450 0.1725 0.2500 Be
0.8275 0.1725 0.2500 Be
0.8275 0.6550 0.2500 Be
0.0000 0.0000 0.5000 Be
0.1725 0.3450 0.7500 Be
0.1725 0.8275 0.7500 Be
0.6550 0.8275 0.7500 Be
0.3333 0.6667 0.0663 Ta
0.3333 0.6667 0.4337 Ta
0.6667 0.3333 0.5663 Ta
0.6667 0.3333 0.9337 Ta

=====

(3)
RbFeAs (GGA-PBE, relaxed); calculated total energy = -3.805 eV/atom; magnetic moment = 4.0 μB/f.u.; calculated volume = 26.1 Å³/atom; crystal system = cubic
1.0
0.0000 3.3957 3.3957
3.3957 0.0000 3.3957
3.3957 3.3957 0.0000
As Fe Rb
1 1 1
direct
0.0000 0.0000 0.0000 As
0.2500 0.2500 0.2500 Fe
0.7500 0.7500 0.7500 Rb